No. 1
PBE-GGA Pr2YTm2, relaxed; formation enthalpy at 0 K = 0.2955 eV per atom; SG = Cmcm (63); calculated volume = 351.21 Å³ per cell
1.0
3.4375 -8.1814 0.0000
3.4375 8.1814 0.0000
0.0000 0.0000 6.2442
Pr Y Tm
4 2 4
direct
0.1014 0.8986 0.7500 Pr
0.3293 0.6707 0.2500 Pr
0.6707 0.3293 0.7500 Pr
0.8986 0.1014 0.2500 Pr
0.5000 0.5000 0.0000 Y
0.5000 0.5000 0.5000 Y
0.0899 0.4317 0.7500 Tm
0.4317 0.0899 0.2500 Tm
0.5683 0.9101 0.7500 Tm
0.9101 0.5683 0.2500 Tm

=====

No. 2
PBE-GGA Ta14NbW, relaxed; formation enthalpy at 0 K = -0.0111 eV per atom; SG = Cmmm (65); calculated volume = 290.50 Å³ per cell
1.0
3.3227 -4.6733 0.0000
3.3227 4.6733 0.0000
0.0000 0.0000 9.3539
Ta Nb W
14 1 1
direct
0.0000 0.0000 0.0000 Ta
0.0000 0.5000 0.0000 Ta
0.0000 0.5000 0.5000 Ta
0.2474 0.2474 0.2560 Ta
0.2474 0.2474 0.7440 Ta
0.2504 0.7496 0.2471 Ta
0.2504 0.7496 0.7529 Ta
0.5000 0.0000 0.0000 Ta
0.5000 0.0000 0.5000 Ta
0.5000 0.5000 0.0000 Ta
0.7496 0.2504 0.2471 Ta
0.7496 0.2504 0.7529 Ta
0.7526 0.7526 0.2560 Ta
0.7526 0.7526 0.7440 Ta
0.5000 0.5000 0.5000 Nb
0.0000 0.0000 0.5000 W

=====

No. 3
PBE-GGA Pu3Ru2Rh2, relaxed; formation enthalpy at 0 K = -0.1978 eV per atom; SG = I2_13 (199); calculated volume = 270.90 Å³ per cell
1.0
-4.0762 4.0762 4.0762
4.0762 -4.0762 4.0762
4.0762 4.0762 -4.0762
Pu Ru Rh
6 4 4
direct
0.1110 0.8610 0.2500 Pu
0.2500 0.1110 0.8610 Pu
0.3890 0.6390 0.7500 Pu
0.6390 0.7500 0.3890 Pu
0.7500 0.3890 0.6390 Pu
0.8610 0.2500 0.1110 Pu
0.0000 0.6532 0.5000 Ru
0.5000 0.0000 0.6532 Ru
0.6532 0.5000 0.0000 Ru
0.8468 0.8468 0.8468 Ru
0.0000 0.1934 0.5000 Rh
0.1934 0.5000 0.0000 Rh
0.3066 0.3066 0.3066 Rh
0.5000 0.0000 0.1934 Rh

=====

No. 4
PBE-GGA Pu3PdS6, relaxed; formation energy (no corrections) = -1.22 eV/atom; SG = R-3 (148); calculated volume = 477.52 Å³ per cell
1.0
5.5044 3.1779 4.5497
-5.5044 3.1779 4.5497
0.0000 -6.3559 4.5497
Pu Pd S
6 2 12
direct
0.0693 0.7420 0.5741 Pu
0.2580 0.4259 0.9307 Pu
0.4259 0.9307 0.2580 Pu
0.5741 0.0693 0.7420 Pu
0.7420 0.5741 0.0693 Pu
0.9307 0.2580 0.4259 Pu
0.0000 0.0000 0.0000 Pd
0.5000 0.5000 0.5000 Pd
0.0384 0.6963 0.9169 S
0.0831 0.9616 0.3037 S
0.1895 0.4109 0.5913 S
0.3037 0.0831 0.9616 S
0.4087 0.8105 0.5891 S
0.4109 0.5913 0.1895 S
0.5891 0.4087 0.8105 S
0.5913 0.1895 0.4109 S
0.6963 0.9169 0.0384 S
0.8105 0.5891 0.4087 S
0.9169 0.0384 0.6963 S
0.9616 0.3037 0.0831 S

=====

No. 5
PBE-GGA K2RbCaBi, relaxed; formation enthalpy at 0 K = -0.2143 eV per atom; SG = P4/mmm (123); calculated volume = 306.18 Å³ per cell
1.0
7.0343 0.0000 0.0000
0.0000 7.0343 0.0000
0.0000 0.0000 6.1878
K Rb Ca Bi
2 1 1 1
direct
0.0000 0.5000 0.0000 K
0.5000 0.0000 0.0000 K
0.0000 0.0000 0.5000 Rb
0.5000 0.5000 0.5000 Ca
0.5000 0.5000 0.0000 Bi

=====

No. 6
PBE-GGA DyTm6S8, relaxed; formation energy (no corrections) = -2.01 eV/atom; SG = Fm-3m (225); calculated volume = 319.94 Å³ per cell
1.0
0.0000 5.4285 5.4285
5.4285 0.0000 5.4285
5.4285 5.4285 0.0000
Dy Tm S
1 6 8
direct
0.0000 0.0000 0.0000 Dy
0.0000 0.0000 0.5000 Tm
0.0000 0.5000 0.0000 Tm
0.0000 0.5000 0.5000 Tm
0.5000 0.0000 0.0000 Tm
0.5000 0.0000 0.5000 Tm
0.5000 0.5000 0.0000 Tm
0.2500 0.2500 0.2500 S
0.2538 0.2538 0.7462 S
0.2538 0.7462 0.2538 S
0.2538 0.7462 0.7462 S
0.7462 0.2538 0.2538 S
0.7462 0.2538 0.7462 S
0.7462 0.7462 0.2538 S
0.7500 0.7500 0.7500 S

=====

No. 7
PBE-GGA ZrAg, relaxed; formation enthalpy at 0 K = 0.8737 eV per atom; SG = P6_3/mmc (194); calculated volume = 109.97 Å³ per cell
1.0
4.7594 0.0000 0.0000
-2.3797 4.1218 0.0000
0.0000 0.0000 5.6060
Zr Ag
2 2
direct
0.3333 0.6667 0.2500 Zr
0.6667 0.3333 0.7500 Zr
0.3333 0.6667 0.7500 Ag
0.6667 0.3333 0.2500 Ag

=====

No. 8
PBE-GGA Dy2RuS, relaxed; formation energy (no corrections) = -0.99 eV/atom; SG = R-3m (166); calculated volume = 87.06 Å³ per cell
1.0
1.8373 1.0608 7.4448
-1.8373 1.0608 7.4448
0.0000 -2.1216 7.4448
Dy Ru S
2 1 1
direct
0.2490 0.2490 0.2490 Dy
0.7510 0.7510 0.7510 Dy
0.0000 0.0000 0.0000 Ru
0.5000 0.5000 0.5000 S

=====

No. 9
PBE-GGA Ba6Sr6Ca, relaxed; formation enthalpy at 0 K = 0.1138 eV per atom; SG = P6/mmm (191); calculated volume = 794.28 Å³ per cell
1.0
7.9611 0.0000 0.0000
-3.9806 6.8945 0.0000
0.0000 0.0000 14.4708
Ba Sr Ca
6 6 1
direct
0.0000 0.0000 0.1487 Ba
0.0000 0.0000 0.8513 Ba
0.3333 0.6667 0.0000 Ba
0.3333 0.6667 0.5000 Ba
0.6667 0.3333 0.0000 Ba
0.6667 0.3333 0.5000 Ba
0.0000 0.5000 0.2602 Sr
0.0000 0.5000 0.7398 Sr
0.5000 0.0000 0.2602 Sr
0.5000 0.0000 0.7398 Sr
0.5000 0.5000 0.2602 Sr
0.5000 0.5000 0.7398 Sr
0.0000 0.0000 0.5000 Ca

=====

No. 10
PBE-GGA Nd2Ta2Cl2O7, relaxed; formation energy (no corrections) = -2.97 eV/atom; SG = C2/m (12); calculated volume = 196.09 Å³ per cell
1.0
7.7925 -1.9774 0.0000
7.7925 1.9774 0.0000
-2.7793 0.0000 6.3630
Nd Ta Cl O
2 2 2 7
direct
0.1924 0.1924 0.1644 Nd
0.8076 0.8076 0.8356 Nd
0.4649 0.4649 0.2006 Ta
0.5351 0.5351 0.7994 Ta
0.1800 0.1800 0.5674 Cl
0.8200 0.8200 0.4326 Cl
0.0460 0.0460 0.8368 O
0.3252 0.3252 0.0684 O
0.4195 0.4195 0.8469 O
0.5000 0.5000 0.5000 O
0.5805 0.5805 0.1531 O
0.6748 0.6748 0.9316 O
0.9540 0.9540 0.1632 O

=====

No. 11
PBE-GGA KCa2Cu, relaxed; formation enthalpy at 0 K = 0.1195 eV per atom; SG = P4mm (99); calculated volume = 153.81 Å³ per cell
1.0
4.0371 0.0000 0.0000
0.0000 4.0371 0.0000
0.0000 0.0000 9.4375
K Ca Cu
1 2 1
direct
0.0000 0.0000 0.0000 K
0.0000 0.0000 0.6148 Ca
0.5000 0.5000 0.3565 Ca
0.5000 0.5000 0.6978 Cu

=====

No. 12
PBE-GGA Ac4RhAuS2, relaxed; formation energy (no corrections) = -1.31 eV/atom; SG = P2/m (10); calculated volume = 246.09 Å³ per cell
1.0
7.4838 0.0000 0.0000
0.0000 4.3041 0.0000
-2.4558 0.0000 7.6399
Ac Rh Au S
4 1 1 2
direct
0.2377 0.0000 0.2386 Ac
0.2404 0.5000 0.7589 Ac
0.7596 0.5000 0.2411 Ac
0.7623 0.0000 0.7614 Ac
0.0000 0.5000 0.0000 Rh
0.5000 0.0000 0.0000 Au
0.0000 0.0000 0.5000 S
0.5000 0.5000 0.5000 S

=====

Which formula does entry 7 have?
ZrAg

=====

What did the first record say?
PBE-GGA Pr2YTm2, relaxed; formation enthalpy at 0 K = 0.2955 eV per atom; SG = Cmcm (63); calculated volume = 351.21 Å³ per cell
1.0
3.4375 -8.1814 0.0000
3.4375 8.1814 0.0000
0.0000 0.0000 6.2442
Pr Y Tm
4 2 4
direct
0.1014 0.8986 0.7500 Pr
0.3293 0.6707 0.2500 Pr
0.6707 0.3293 0.7500 Pr
0.8986 0.1014 0.2500 Pr
0.5000 0.5000 0.0000 Y
0.5000 0.5000 0.5000 Y
0.0899 0.4317 0.7500 Tm
0.4317 0.0899 0.2500 Tm
0.5683 0.9101 0.7500 Tm
0.9101 0.5683 0.2500 Tm